Entry 1:
# PBE B2C, optimized geometry
# * magnetic moment: 0.0 μB per cell
# * calculated total energy: -7.074 eV per atom
data_B2C
_chemical_formula_sum 'B16 C8'
_space_group_name_H-M_alt 'C 1 m 1'
_space_group_IT_number 8
_space_group_name_Hall 'C -2y'
_cell_length_a 13.876
_cell_length_b 2.615
_cell_length_c 5.055
_cell_angle_alpha 90.00
_cell_angle_beta 106.63
_cell_angle_gamma 90.00
loop_
_atom_site_label
_atom_site_fract_x
_atom_site_fract_y
_atom_site_fract_z
B1 0.000 0.000 0.000
B2 0.010 0.500 0.569
B3 0.059 0.500 0.262
B4 0.148 0.000 0.924
B5 0.214 0.500 0.141
B6 0.229 0.000 0.525
B7 0.347 0.500 0.152
B8 0.367 0.000 0.394
C1 0.044 0.000 0.728
C2 0.175 0.500 0.412
C3 0.346 0.000 0.698
C4 0.376 0.500 0.872

Entry 2:
# PBE PaRePd, optimized geometry
# * magnetic moment: 0.0 μB per cell
# * calculated total energy: -9.126 eV per atom
data_PaRePd
_chemical_formula_sum 'Pa2 Re2 Pd2'
_space_group_name_H-M_alt 'P -1'
_space_group_IT_number 2
_space_group_name_Hall '-P 1'
_cell_length_a 3.259
_cell_length_b 4.867
_cell_length_c 7.193
_cell_angle_alpha 100.77
_cell_angle_beta 90.05
_cell_angle_gamma 90.01
loop_
_atom_site_label
_atom_site_fract_x
_atom_site_fract_y
_atom_site_fract_z
Pa1 0.249 0.439 0.300
Re1 0.249 0.750 0.013
Pd1 0.250 0.044 0.660

Entry 3:
# PBE Sc2CdHPt, optimized geometry
# * magnetic moment: 0.0 μB per cell
# * calculated total energy: -5.214 eV per atom
data_Sc2CdHPt
_chemical_formula_sum 'Sc2 Cd1 H1 Pt1'
_space_group_name_H-M_alt 'P 4/m m m'
_space_group_IT_number 123
_space_group_name_Hall '-P 4 2'
_cell_length_a 4.727
_cell_length_b 4.727
_cell_length_c 3.662
_cell_angle_alpha 90.00
_cell_angle_beta 90.00
_cell_angle_gamma 90.00
loop_
_atom_site_label
_atom_site_fract_x
_atom_site_fract_y
_atom_site_fract_z
Sc1 0.000 0.500 0.000
Cd1 0.000 0.000 0.500
H1 0.500 0.500 0.000
Pt1 0.500 0.500 0.500

Entry 4:
# PBE ZnGeH3, optimized geometry
# * magnetic moment: 0.0 μB per cell
# * calculated total energy: -2.604 eV per atom
data_ZnGeH3
_chemical_formula_sum 'Zn1 Ge1 H3'
_space_group_name_H-M_alt 'P m -3 m'
_space_group_IT_number 221
_space_group_name_Hall '-P 4 2 3'
_cell_length_a 3.659
_cell_length_b 3.659
_cell_length_c 3.659
_cell_angle_alpha 90.00
_cell_angle_beta 90.00
_cell_angle_gamma 90.00
loop_
_atom_site_label
_atom_site_fract_x
_atom_site_fract_y
_atom_site_fract_z
Zn1 0.000 0.000 0.000
Ge1 0.500 0.500 0.500
H1 0.000 0.000 0.500

Entry 5:
# PBE LaSc5, optimized geometry
# * magnetic moment: 0.0 μB per cell
# * calculated total energy: -6.020 eV per atom
data_LaSc5
_chemical_formula_sum 'La2 Sc10'
_space_group_name_H-M_alt 'C m m m'
_space_group_IT_number 65
_space_group_name_Hall '-C 2 2'
_cell_length_a 4.690
_cell_length_b 14.258
_cell_length_c 4.742
_cell_angle_alpha 90.00
_cell_angle_beta 90.00
_cell_angle_gamma 90.00
loop_
_atom_site_label
_atom_site_fract_x
_atom_site_fract_y
_atom_site_fract_z
La1 0.000 0.000 0.000
Sc1 0.000 0.170 0.500
Sc2 0.000 0.328 0.000
Sc3 0.000 0.500 0.500

Entry 6:
# PBE Pm6Sm2Sc, optimized geometry
# * magnetic moment: 0.0 μB per cell
# * calculated total energy: -4.827 eV per atom
data_Pm6Sm2Sc
_chemical_formula_sum 'Pm24 Sm8 Sc4'
_space_group_name_H-M_alt 'C 1 2/c 1'
_space_group_IT_number 15
_space_group_name_Hall '-C 2yc'
_cell_length_a 16.456
_cell_length_b 11.733
_cell_length_c 6.193
_cell_angle_alpha 90.00
_cell_angle_beta 96.50
_cell_angle_gamma 90.00
loop_
_atom_site_label
_atom_site_fract_x
_atom_site_fract_y
_atom_site_fract_z
Pm1 0.049 0.141 0.012
Pm2 0.109 0.365 0.326
Pm3 0.206 0.362 0.857
Sm1 0.171 0.103 0.567
Sc1 0.000 0.395 0.750

Entry 7:
# PBE TcAs2, optimized geometry
# * magnetic moment: 0.0 μB per cell
# * calculated total energy: -6.664 eV per atom
data_TcAs2
_chemical_formula_sum 'Tc4 As8'
_space_group_name_H-M_alt 'I 41/a m d'
_space_group_IT_number 141
_cell_length_a 3.056
_cell_length_b 3.056
_cell_length_c 22.956
_cell_angle_alpha 90.00
_cell_angle_beta 90.00
_cell_angle_gamma 90.00
loop_
_space_group_symop_operation_xyz
'x,y,z'
'-x,-y,-z'
'-y+1/4,x+3/4,z+1/4'
'y+1/4,-x+3/4,-z+1/4'
'-x+1/2,-y,z+1/2'
'x+1/2,y,-z+1/2'
'y+1/4,-x+1/4,z+3/4'
'-y+1/4,x+1/4,-z+3/4'
'x,-y,-z'
'-x,y,z'
'-y+1/4,-x+1/4,-z+3/4'
'y+1/4,x+1/4,z+3/4'
'-x+1/2,y,-z+1/2'
'x+1/2,-y,z+1/2'
'y+1/4,x+3/4,-z+1/4'
'-y+1/4,-x+3/4,z+1/4'
'x+1/2,y+1/2,z+1/2'
'-x+1/2,-y+1/2,-z+1/2'
'-y+3/4,x+1/4,z+3/4'
'y+3/4,-x+1/4,-z+3/4'
'-x,-y+1/2,z'
'x,y+1/2,-z'
'y+3/4,-x+3/4,z+1/4'
'-y+3/4,x+3/4,-z+1/4'
'x+1/2,-y+1/2,-z+1/2'
'-x+1/2,y+1/2,z+1/2'
'-y+3/4,-x+3/4,-z+1/4'
'y+3/4,x+3/4,z+1/4'
'-x,y+1/2,-z'
'x,-y+1/2,z'
'y+3/4,x+1/4,-z+3/4'
'-y+3/4,-x+1/4,z+3/4'
loop_
_atom_site_label
_atom_site_fract_x
_atom_site_fract_y
_atom_site_fract_z
Tc1 0.000 0.250 0.375
As1 0.000 0.250 0.810

Entry 8:
# PBE Cr5Os3, optimized geometry
# * magnetic moment: 0.0 μB per cell
# * calculated total energy: -10.084 eV per atom
data_Cr5Os3
_chemical_formula_sum 'Cr10 Os6'
_space_group_name_H-M_alt 'C m m m'
_space_group_IT_number 65
_space_group_name_Hall '-C 2 2'
_cell_length_a 7.375
_cell_length_b 7.464
_cell_length_c 3.740
_cell_angle_alpha 90.00
_cell_angle_beta 90.00
_cell_angle_gamma 90.00
loop_
_atom_site_label
_atom_site_fract_x
_atom_site_fract_y
_atom_site_fract_z
Cr1 0.000 0.000 0.000
Cr2 0.248 0.500 0.500
Cr3 0.250 0.250 0.000
Os1 0.000 0.239 0.500
Os2 0.000 0.500 0.000

Entry 9:
# PBE VCrRe2, optimized geometry
# * magnetic moment: 0.0 μB per cell
# * calculated total energy: -11.055 eV per atom
data_VCrRe2
_chemical_formula_sum 'V1 Cr1 Re2'
_space_group_name_H-M_alt 'P 4/m m m'
_space_group_IT_number 123
_space_group_name_Hall '-P 4 2'
_cell_length_a 3.011
_cell_length_b 3.011
_cell_length_c 6.041
_cell_angle_alpha 90.00
_cell_angle_beta 90.00
_cell_angle_gamma 90.00
loop_
_atom_site_label
_atom_site_fract_x
_atom_site_fract_y
_atom_site_fract_z
V1 0.000 0.000 0.000
Cr1 0.000 0.000 0.500
Re1 0.500 0.500 0.251

Entry 10:
# PBE Pr4Ga3Ni5, optimized geometry
# * magnetic moment: 0.0 μB per cell
# * calculated total energy: -5.105 eV per atom
data_Pr4Ga3Ni5
_chemical_formula_sum 'Pr8 Ga6 Ni10'
_space_group_name_H-M_alt 'C 1 2/m 1'
_space_group_IT_number 12
_space_group_name_Hall '-C 2y'
_cell_length_a 13.403
_cell_length_b 4.369
_cell_length_c 9.928
_cell_angle_alpha 90.00
_cell_angle_beta 118.27
_cell_angle_gamma 90.00
loop_
_atom_site_label
_atom_site_fract_x
_atom_site_fract_y
_atom_site_fract_z
Pr1 0.045 0.000 0.344
Pr2 0.236 0.500 0.235
Ga1 0.000 0.000 0.000
Ga2 0.132 0.500 0.885
Ni1 0.000 0.500 0.000
Ni2 0.090 0.500 0.619
Ni3 0.216 0.500 0.517